This record from the Open Quantum Materials Database describes DyIn2Ni after structural relaxation. The functional is PBE-GGA.

Cell lengths 7.4123, 5.6461, 5.6461 Å; angles 44.92, 90.00, 90.00 degrees
Last column: nearest neighbours and their distance in Å.
Sites, in units of the cell vectors:
In: 0.2002 0.1432 0.1432  3 Ni 2.67-2.72, 1 In 2.97
In: 0.7998 0.1432 0.1432  3 Ni 2.67-2.72, 1 In 2.97
In: 0.7000 0.8567 0.8567  3 Ni 2.67-2.72, 1 In 2.97
In: 0.3000 0.8567 0.8567  3 Ni 2.67-2.72, 1 In 2.97
Dy: 0.5000 0.5676 0.5676  3 Ni 2.95-3.13, 4 In 3.20
Dy: 0.0000 0.4323 0.4323  3 Ni 2.96-3.13, 4 In 3.20
Ni: 0.5000 0.2847 0.2847  6 In 2.67-2.72, 1 Dy 2.95
Ni: 0.0000 0.7155 0.7155  6 In 2.67-2.72, 1 Dy 2.96

Summary:
**Final energy**: -4.353 eV/atom
**Theoretical density**: 8.973 g/cm³
**Symmetry**: Cmcm
**Volume**: 167 Å³ per cell